# 1
This record from OQMD describes a geometry-optimized TbTl3Cl6 structure. The functional is PBE.

Cell: 7.459 8.187 12.876 Å, 90.00 122.65 90.00°
Element x y z (fractional)
Cl1 0.339 0.333 0.043
Cl2 0.238 0.770 0.078
Cl3 0.101 0.437 0.228
Cl4 0.899 0.937 0.272
Cl5 0.762 0.270 0.422
Cl6 0.661 0.833 0.457
Cl7 0.339 0.167 0.543
Cl8 0.238 0.730 0.578
Cl9 0.101 0.063 0.728
Cl10 0.899 0.563 0.772
Cl11 0.762 0.230 0.922
Cl12 0.661 0.667 0.957
Tb1 0.000 0.500 0.000
Tb2 0.000 0.000 0.500
Tl1 0.500 0.000 0.000
Tl2 0.710 0.569 0.235
Tl3 0.290 0.069 0.265
Tl4 0.500 0.500 0.500
Tl5 0.710 0.931 0.735
Tl6 0.290 0.431 0.765

## Properties
Crystal system: monoclinic
SG: No. 14
Raw total energy in eV/atom: -3.838

***

# 2
This record from OQMD describes a geometry-optimized TbTmCl6 structure. The functional is PBE.

Cell: 6.837 6.837 6.450 Å, 100.23 100.23 120.14°
Element x y z (fractional)
Cl1 0.586 0.941 0.240
Cl2 0.936 0.574 0.241
Cl3 0.219 0.225 0.244
Cl4 0.775 0.781 0.756
Cl5 0.426 0.064 0.759
Cl6 0.059 0.414 0.760
Tb1 0.165 0.835 0.000
Tm1 0.834 0.166 0.000

## Properties
Crystal system: monoclinic
SG: No. 5
Raw total energy in eV/atom: -4.801

***

# 3
This record from OQMD describes a geometry-optimized Tc2Cl structure. The functional is PBE.

Cell: 5.235 5.235 5.235 Å, 60.00 60.00 60.00°
Element x y z (fractional)
Cl1 0.000 0.000 0.000
Cl2 0.250 0.250 0.250
Tc1 0.625 0.625 0.125
Tc2 0.625 0.125 0.625
Tc3 0.125 0.625 0.625
Tc4 0.625 0.625 0.625

## Properties
Crystal system: cubic
Excess energy over the best structure of this formula in the dataset in eV/atom: 0.000
SG: No. 227
Raw total energy in eV/atom: -6.332